Entry 1:
A relaxed PmYNi2 crystal. Source: Alexandria via LeMat-Bulk, functional GGA-PBE.

Unit cell a=3.8051 b=4.2495 c=5.5102 alpha=90.00 beta=110.19 gamma=90.00
Last column: nearest neighbours and their distance in Å.
Element x y z (fractional)
Ni1 0.0131 0.0000 0.5649  2 Ni 2.58, 2 Y 2.87
Ni2 0.1546 0.5000 0.8487  2 Ni 2.58
Pm1 0.4430 0.5000 0.4243  7 Ni 2.90-2.98
Y1 0.7203 0.0000 0.9801  7 Ni 2.87-3.02

Calculated values
Offset from the most stable computed form (eV/f.u.): 0.00
Calculated formation energy (eV per atom): -0.39
Raw total energy (eV per formula unit): -24.3

Entry 2:
A relaxed NaNiPtI2 crystal. Source: Alexandria via LeMat-Bulk, functional GGA-PBE.

Unit cell a=5.0835 b=5.0975 c=5.0835 alpha=90.00 beta=90.00 gamma=90.00
Last column: nearest neighbours and their distance in Å.
Element x y z (fractional)
I1 0.5000 0.0000 0.0000  2 Ni 2.54
I2 0.0000 0.0000 0.5000  2 Ni 2.54
Na1 0.0000 0.5000 0.0000  2 Ni 2.55
Ni1 0.0000 0.0000 0.0000  4 I 2.54, 2 Na 2.55
Pt1 0.5000 0.5000 0.5000  4 Na 3.59, 8 I 3.60

Calculated values
Uncorrected formation energy (eV/atom): 0.547
Raw total energy (eV per formula unit): -13.5

Entry 3:
A relaxed Pu3Ge2H2 crystal. Source: Alexandria via LeMat-Bulk, functional GGA-PBE.

Unit cell a=4.1254 b=5.9619 c=7.1483 alpha=128.50 beta=106.77 gamma=90.00
Last column: nearest neighbours and their distance in Å.
Element x y z (fractional)
Pu1 0.0000 0.5000 0.0000  2 H 2.34
Pu2 0.6424 0.2351 0.2849  3 H 2.28-2.30
Pu3 0.3576 0.7649 0.7151  3 H 2.28-2.30
H1 0.1393 0.3996 0.2787  4 Pu 2.28-2.34
H2 0.8607 0.6004 0.7213  4 Pu 2.28-2.34
Ge1 0.2876 0.1675 0.5751  2 Ge 2.57
Ge2 0.7124 0.8325 0.4249  2 Ge 2.57

Calculated values
Offset from the most stable computed form (eV/f.u.): 0.00
Raw total energy (eV per formula unit): -61.2

Entry 4:
A relaxed YZrMo crystal. Source: Alexandria via LeMat-Bulk, functional GGA-PBE.

Unit cell a=4.8706 b=4.8706 c=3.1981 alpha=90.00 beta=90.00 gamma=120.00
Last column: nearest neighbours and their distance in Å.
Element x y z (fractional)
Mo1 0.0000 0.0000 0.9516  3 Zr 2.89, 3 Y 3.03, 2 Mo 3.20
Y1 0.3333 0.6667 0.3076  3 Mo 3.03, 6 Zr 3.13-3.35, 2 Y 3.20
Zr1 0.6667 0.3333 0.7407  3 Mo 2.89, 3 Y 3.13, 2 Zr 3.20

Calculated values
Offset from the most stable computed form (eV/f.u.): 0.45
Calculated formation energy (eV per atom): 0.28
Raw total energy (eV per formula unit): -25.0

Entry 5:
A relaxed La5Tb2Sc2 crystal. Source: Alexandria via LeMat-Bulk, functional GGA-PBE.

Unit cell a=3.4950 b=11.8763 c=10.2087 alpha=45.39 beta=80.14 gamma=81.54
Last column: nearest neighbours and their distance in Å.
Element x y z (fractional)
La1 0.0000 0.0000 0.0000  2 Tb 3.37, 6 La 3.49-3.73, 4 Sc 3.65
La2 0.3374 0.9906 0.3346  9 La 3.49-3.90, 2 Tb 3.64, 1 Sc 3.65
La3 0.2183 0.3541 0.2094  1 Tb 3.31, 5 La 3.49-3.53, 2 Sc 3.61
La4 0.7817 0.6459 0.7906  1 Tb 3.31, 5 La 3.49-3.53, 2 Sc 3.61
La5 0.6626 0.0094 0.6654  9 La 3.49-3.90, 2 Tb 3.64, 1 Sc 3.65
Sc1 0.4049 0.3486 0.8416  4 Tb 3.45-3.48, 2 Sc 3.49, 6 La 3.61-3.74
Sc2 0.5951 0.6514 0.1584  4 Tb 3.45-3.48, 2 Sc 3.49, 6 La 3.61-3.74
Tb1 0.0550 0.3407 0.5494  3 Tb 3.13-3.49, 2 La 3.31-3.37, 4 Sc 3.45-3.48
Tb2 0.9450 0.6593 0.4506  3 Tb 3.13-3.49, 2 La 3.31-3.37, 4 Sc 3.45-3.48

Calculated values
Calculated formation energy (eV per atom): 0.11
Raw total energy (eV per formula unit): -45.6

Entry 6:
A relaxed V2W5 crystal. Source: Alexandria via LeMat-Bulk, functional GGA-PBE.

Unit cell a=5.2356 b=6.0148 c=7.4668 alpha=90.29 beta=110.52 gamma=90.00
Last column: nearest neighbours and their distance in Å.
Element x y z (fractional)
W1 0.1740 0.6744 0.5798  2 V 2.62-2.69, 5 W 2.69-2.86
W2 0.8655 0.2500 0.0000  4 W 2.66-2.72, 6 V 2.67-2.96
W3 0.1345 0.7500 0.0000  4 W 2.66-2.72, 6 V 2.67-2.96
W4 0.0180 0.9600 0.2850  7 W 2.66-2.94, 3 V 2.69-2.96
W5 0.9820 0.0400 0.7150  7 W 2.66-2.94, 3 V 2.69-2.96
W6 0.5942 0.8256 0.4202  2 V 2.62-2.69, 5 W 2.69-2.86
W7 0.8260 0.3256 0.4202  2 V 2.62-2.69, 5 W 2.69-2.86
W8 0.2670 0.4600 0.2850  7 W 2.66-2.94, 3 V 2.69-2.96
W9 0.7330 0.5400 0.7150  7 W 2.66-2.94, 3 V 2.69-2.96
W10 0.4058 0.1744 0.5798  2 V 2.62-2.69, 5 W 2.69-2.86
V1 0.3066 0.3917 0.8639  2 V 2.56-2.65, 4 W 2.62-2.69
V2 0.4426 0.1083 0.1361  2 V 2.56-2.65, 4 W 2.62-2.69
V3 0.6934 0.6083 0.1361  2 V 2.56-2.65, 4 W 2.62-2.69
V4 0.5574 0.8917 0.8639  2 V 2.56-2.65, 4 W 2.62-2.69

Calculated values
Offset from the most stable computed form (eV/f.u.): 2.14
Calculated formation energy (eV per atom): 0.22
Raw total energy (eV per formula unit): -81.5

Entry 7:
A relaxed ThHRu crystal. Source: Alexandria via LeMat-Bulk, functional GGA-PBE.

Unit cell a=4.1622 b=3.8883 c=7.6802 alpha=104.60 beta=122.31 gamma=90.04
Last column: nearest neighbours and their distance in Å.
Element x y z (fractional)
Ru1 0.6810 0.8387 0.0446  1 H 1.72
Ru2 0.7844 0.6573 0.6829  1 H 1.72
H1 0.8204 0.5477 0.4637  1 Ru 1.72
H2 0.6449 0.9483 0.2637  1 Ru 1.72
Th1 0.2170 0.3737 0.1149  3 H 2.42-2.45
Th2 0.2484 0.1222 0.6126  3 H 2.42-2.45

Calculated values
Offset from the most stable computed form (eV/f.u.): 0.00
Raw total energy (eV per formula unit): -21.5

Entry 8:
A relaxed MnZnMo2 crystal. Source: Alexandria via LeMat-Bulk, functional GGA-PBE.

Unit cell a=2.6270 b=4.1197 c=5.3131 alpha=90.00 beta=90.00 gamma=90.00
Last column: nearest neighbours and their distance in Å.
Element x y z (fractional)
Mn1 0.5000 0.5000 0.7500  2 Mn 2.63, 2 Zn 2.66, 8 Mo 2.77
Mo1 0.0000 0.0000 0.5042  4 Mo 2.61-2.70, 4 Mn 2.77, 4 Zn 2.79
Mo2 0.0000 0.0000 0.9958  4 Mo 2.61-2.70, 4 Mn 2.77, 4 Zn 2.79
Zn1 0.5000 0.5000 0.2500  2 Zn 2.63, 2 Mn 2.66, 8 Mo 2.79

Calculated values
Calculated formation energy (eV per atom): 0.16
Raw total energy (eV per formula unit): -31.5

Entry 9:
A relaxed Ga2OF3 crystal. Source: Alexandria via LeMat-Bulk, functional GGA-PBE.

Unit cell a=5.4266 b=5.8680 c=5.8680 alpha=115.65 beta=90.00 gamma=90.00
Last column: nearest neighbours and their distance in Å.
Element x y z (fractional)
O1 0.2500 0.5628 0.4372  4 Ga 2.06
O2 0.7500 0.4372 0.5628  4 Ga 2.06
F1 0.2500 0.0891 0.3798  2 Ga 1.99
F2 0.2500 0.0750 0.9250  4 Ga 2.30
F3 0.7500 0.9109 0.6202  2 Ga 1.99
F4 0.2500 0.6202 0.9109  2 Ga 1.99
F5 0.7500 0.9250 0.0750  4 Ga 2.30
F6 0.7500 0.3798 0.0891  2 Ga 1.99
Ga1 0.0000 0.2718 0.2718  2 F 1.99, 2 O 2.06
Ga2 0.5000 0.7282 0.7282  2 F 1.99, 2 O 2.06
Ga3 0.0000 0.7282 0.7282  2 F 1.99, 2 O 2.06
Ga4 0.5000 0.2718 0.2718  2 F 1.99, 2 O 2.06

Calculated values
Uncorrected formation energy (eV/atom): -1.782
Raw total energy (eV per formula unit): -27.3

Entry 10:
A relaxed CsNiTe2I crystal. Source: Alexandria via LeMat-Bulk, functional GGA-PBE.

Unit cell a=5.2169 b=5.2169 c=5.9366 alpha=90.00 beta=90.00 gamma=90.00
Last column: nearest neighbours and their distance in Å.
Element x y z (fractional)
I1 0.0000 0.0000 0.5000  2 Ni 2.97
Te1 0.0000 0.5000 0.0000  2 Ni 2.61
Te2 0.5000 0.0000 0.0000  2 Ni 2.61
Cs1 0.5000 0.5000 0.5000  4 I 3.69, 8 Te 3.95
Ni1 0.0000 0.0000 0.0000  4 Te 2.61

Calculated values
Uncorrected formation energy (eV/atom): -0.277
Offset from the most stable computed form (eV/f.u.): 0.00
Raw total energy (eV per formula unit): -15.9